No. 1
Entry from the Alexandria database: LiPm2Mg after structural relaxation (PBE).

**Offset from the most stable computed form**: 13 meV/atom

Cell lengths 5.4342, 5.4342, 5.4342 Å; angles 60.00, 60.00, 60.00 degrees
Element x y z (fractional)
1 Li 0.5000 0.5000 0.5000
2 Mg 0.0000 0.0000 0.0000
3 Pm 0.7500 0.7500 0.7500
4 Pm 0.2500 0.2500 0.2500

No. 2
Entry from the Alexandria database: LiPm6Mg5 after structural relaxation (PBE).

**Final energy**: -3.271 eV per atom

Cell lengths 5.4430, 7.7466, 8.5903 Å; angles 90.00, 71.69, 90.00 degrees
Element x y z (fractional)
1 Mg 0.0000 0.5000 0.0000
2 Mg 0.3322 0.0000 0.3375
3 Pm 0.8348 0.2513 0.3315
4 Pm 0.5001 0.7493 0.0000
5 Pm 0.1653 0.2513 0.6685
6 Mg 0.6678 0.0000 0.6625
7 Mg 0.3331 0.5000 0.3355
8 Mg 0.6669 0.5000 0.6645
9 Pm 0.4999 0.2507 0.0000
10 Li 0.0000 0.0000 0.0000
11 Pm 0.8347 0.7487 0.3315
12 Pm 0.1652 0.7487 0.6685

No. 3
Entry from the Alexandria database: Li17PmMg after structural relaxation (PBE).

**Final energy**: -1.979 eV per atom

Cell lengths 7.4752, 7.4752, 7.4752 Å; angles 79.23, 79.23, 79.23 degrees
Element x y z (fractional)
1 Li 0.6890 0.3047 0.0098
2 Li 0.0941 0.0941 0.0941
3 Li 0.9725 0.9725 0.5362
4 Li 0.3323 0.3323 0.9096
5 Li 0.6072 0.2284 0.6072
6 Li 0.0098 0.6890 0.3047
7 Li 0.9725 0.5362 0.9725
8 Li 0.3047 0.0098 0.6890
9 Mg 0.3226 0.3226 0.3226
10 Li 0.2284 0.6072 0.6072
11 Li 0.6890 0.0098 0.3047
12 Li 0.6072 0.6072 0.2284
13 Li 0.3323 0.9096 0.3323
14 Li 0.0098 0.3047 0.6890
15 Li 0.5362 0.9725 0.9725
16 Li 0.3047 0.6890 0.0098
17 Li 0.9096 0.3323 0.3323
18 Pm 0.6636 0.6636 0.6636
19 Li 0.9145 0.9145 0.9145

No. 4
Entry from the Alexandria database: LiPm5Mg4 after structural relaxation (PBE).

**Final energy**: -3.267 eV per atom

Cell lengths 3.8590, 3.8590, 19.2177 Å; angles 90.00, 90.00, 90.00 degrees
Element x y z (fractional)
1 Mg 0.0000 0.0000 0.1988
2 Mg 0.0000 0.0000 0.6013
3 Pm 0.5000 0.5000 0.9004
4 Mg 0.0000 0.0000 0.3987
5 Mg 0.0000 0.0000 0.8012
6 Li 0.0000 0.0000 0.0000
7 Pm 0.5000 0.5000 0.0996
8 Pm 0.5000 0.5000 0.2982
9 Pm 0.5000 0.5000 0.5000
10 Pm 0.5000 0.5000 0.7018

No. 5
Entry from the Alexandria database: LiPmMg6 after structural relaxation (PBE).

**Final energy**: -2.079 eV per atom

Cell lengths 4.8671, 4.8671, 8.1349 Å; angles 90.00, 90.00, 90.00 degrees
Element x y z (fractional)
1 Mg 0.0000 0.5000 0.7260
2 Mg 0.5000 0.0000 0.2740
3 Mg 0.0000 0.5000 0.2740
4 Pm 0.0000 0.0000 0.0000
5 Mg 0.5000 0.0000 0.7260
6 Mg 0.5000 0.5000 0.0000
7 Li 0.0000 0.0000 0.5000
8 Mg 0.5000 0.5000 0.5000

No. 6
Entry from the Alexandria database: Li5PmMg4 after structural relaxation (PBE).

**Final energy**: -2.079 eV per atom

Cell lengths 3.4876, 3.4876, 17.7371 Å; angles 90.00, 90.00, 90.00 degrees
Element x y z (fractional)
1 Li 0.5000 0.5000 0.1276
2 Li 0.5000 0.5000 0.3131
3 Mg 0.0000 0.0000 0.7829
4 Mg 0.0000 0.0000 0.4060
5 Pm 0.0000 0.0000 0.0000
6 Li 0.5000 0.5000 0.8724
7 Li 0.5000 0.5000 0.5000
8 Mg 0.0000 0.0000 0.5940
9 Li 0.5000 0.5000 0.6869
10 Mg 0.0000 0.0000 0.2171

No. 7
Entry from the Alexandria database: LiPmMg after structural relaxation (PBE).

**Offset from the most stable computed form**: 18 meV/atom

Cell lengths 3.2842, 5.2345, 5.2345 Å; angles 120.00, 90.00, 90.00 degrees
Element x y z (fractional)
1 Pm 0.6668 0.3333 0.6667
2 Mg 0.1670 0.0000 0.0000
3 Li 0.1662 0.6667 0.3333

No. 8
Entry from the Alexandria database: LiPmMg after structural relaxation (PBE).

**Offset from the most stable computed form**: 0 meV/atom

Cell lengths 3.5380, 3.5357, 12.4071 Å; angles 90.01, 90.00, 90.00 degrees
Element x y z (fractional)
1 Pm 0.3725 0.7912 0.3632
2 Li 0.8723 0.2903 0.8222
3 Pm 0.8721 0.2911 0.1492
4 Mg 0.3721 0.7915 0.9573
5 Mg 0.8728 0.2921 0.5552
6 Li 0.3728 0.7905 0.6899

No. 9
Entry from the Alexandria database: LiPmMg after structural relaxation (PBE).

**Offset from the most stable computed form**: 285 meV/atom

Cell lengths 9.4488, 9.4488, 9.4488 Å; angles 19.82, 19.82, 19.82 degrees
Element x y z (fractional)
1 Li 0.1495 0.1495 0.1495
2 Mg 0.0412 0.0412 0.0412
3 Pm 0.9225 0.9225 0.9225

No. 10
Entry from the Alexandria database: Li2PmMg after structural relaxation (PBE).

**Offset from the most stable computed form**: 54 meV/atom

Cell lengths 3.3377, 3.3377, 10.6438 Å; angles 80.98, 80.98, 60.00 degrees
Element x y z (fractional)
1 Mg 0.6669 0.6669 0.9992
2 Li 0.0768 0.0768 0.7695
3 Pm 0.4997 0.4997 0.5008
4 Li 0.2565 0.2565 0.2305

No. 11
Entry from the Alexandria database: LiPmMg3 after structural relaxation (PBE).

**Offset from the most stable computed form**: 0 meV/atom

Cell lengths 4.7131, 7.5084, 7.7158 Å; angles 106.47, 90.00, 108.29 degrees
Element x y z (fractional)
1 Li 0.4700 0.9401 0.8281
2 Mg 0.0612 0.1225 0.3709
3 Mg 0.9388 0.8775 0.6291
4 Mg 0.7335 0.4670 0.3477
5 Mg 0.3813 0.7627 0.3467
6 Pm 0.1521 0.3043 0.0016
7 Mg 0.2665 0.5330 0.6523
8 Pm 0.8479 0.6957 0.9984
9 Mg 0.6187 0.2373 0.6533
10 Li 0.5300 0.0599 0.1719

No. 12
Entry from the Alexandria database: LiPm4Mg2 after structural relaxation (PBE).

**Final energy**: -3.278 eV per atom

Cell lengths 5.4050, 5.4050, 9.2185 Å; angles 72.95, 72.95, 60.00 degrees
Element x y z (fractional)
1 Pm 0.1286 0.1286 0.6142
2 Mg 0.2550 0.2550 0.2349
3 Pm 0.3812 0.3812 0.8565
4 Li 0.0000 0.0000 0.0000
5 Pm 0.6188 0.6188 0.1435
6 Mg 0.7450 0.7450 0.7651
7 Pm 0.8714 0.8714 0.3858

No. 13
Entry from the Alexandria database: Li4PmMg after structural relaxation (PBE).

**Final energy**: -2.325 eV per atom

Cell lengths 5.7059, 5.7059, 5.7059 Å; angles 60.00, 60.00, 60.00 degrees
Element x y z (fractional)
1 Pm 0.2500 0.2500 0.2500
2 Li 0.6266 0.6266 0.1203
3 Li 0.6266 0.1203 0.6266
4 Li 0.6266 0.6266 0.6266
5 Mg 0.0000 0.0000 0.0000
6 Li 0.1203 0.6266 0.6266

No. 14
Entry from the Alexandria database: Li4PmMg8 after structural relaxation (PBE).

**Final energy**: -1.996 eV per atom

Cell lengths 5.3966, 7.8055, 7.8055 Å; angles 83.14, 69.78, 69.78 degrees
Element x y z (fractional)
1 Li 0.5000 0.0000 0.5000
2 Mg 0.3529 0.6471 0.6471
3 Li 0.0000 0.5000 0.0000
4 Li 0.0000 0.0000 0.5000
5 Mg 0.5000 0.7873 0.2127
6 Mg 0.5000 0.2127 0.7873
7 Mg 0.0000 0.6471 0.3529
8 Mg 0.6471 0.3529 0.3529
9 Mg 0.2873 0.2127 0.2127
10 Mg 0.0000 0.3529 0.6471
11 Li 0.5000 0.5000 0.0000
12 Pm 0.0000 0.0000 0.0000
13 Mg 0.7127 0.7873 0.7873

No. 15
Entry from the Alexandria database: LiPm6Mg after structural relaxation (PBE).

**Final energy**: -3.990 eV per atom

Cell lengths 5.2314, 5.2314, 9.9082 Å; angles 74.69, 74.69, 90.00 degrees
Element x y z (fractional)
1 Pm 0.2503 0.2503 0.4994
2 Mg 0.5000 0.5000 0.0000
3 Pm 0.8865 0.3865 0.2270
4 Pm 0.7497 0.7497 0.5006
5 Pm 0.6135 0.1135 0.7730
6 Pm 0.1135 0.6135 0.7730
7 Pm 0.3865 0.8865 0.2270
8 Li 0.0000 0.0000 0.0000

No. 16
Entry from the Alexandria database: Li2PmMg5 after structural relaxation (PBE).

**Final energy**: -2.096 eV per atom

Cell lengths 3.2835, 7.8388, 7.8388 Å; angles 74.55, 77.91, 77.91 degrees
Element x y z (fractional)
1 Mg 0.3644 0.4079 0.8633
2 Li 0.2506 0.2494 0.2494
3 Li 0.7494 0.7506 0.7506
4 Mg 0.6356 0.1367 0.5921
5 Mg 0.0000 0.5000 0.5000
6 Mg 0.6356 0.5921 0.1367
7 Pm 0.0000 0.0000 0.0000
8 Mg 0.3644 0.8633 0.4079

No. 17
Entry from the Alexandria database: Li12PmMg6 after structural relaxation (PBE).

**Final energy**: -1.843 eV per atom

Cell lengths 7.6926, 7.6926, 7.6926 Å; angles 101.31, 101.31, 101.31 degrees
Element x y z (fractional)
1 Mg 0.7221 0.2628 0.2628
2 Mg 0.7372 0.2779 0.7372
3 Li 0.5995 0.8659 0.5995
4 Mg 0.2628 0.2628 0.7221
5 Mg 0.2779 0.7372 0.7372
6 Li 0.5995 0.5995 0.8659
7 Li 0.4005 0.1341 0.4005
8 Li 0.8659 0.5995 0.5995
9 Li 0.8975 0.1025 0.5000
10 Li 0.5000 0.8975 0.1025
11 Li 0.1025 0.8975 0.5000
12 Li 0.8975 0.5000 0.1025
13 Mg 0.7372 0.7372 0.2779
14 Li 0.1341 0.4005 0.4005
15 Li 0.4005 0.4005 0.1341
16 Pm 0.0000 0.0000 0.0000
17 Mg 0.2628 0.7221 0.2628
18 Li 0.1025 0.5000 0.8975
19 Li 0.5000 0.1025 0.8975

No. 18
Entry from the Alexandria database: LiPmMgRh after structural relaxation (PBE).

**Final energy**: -4.272 eV per atom

Cell lengths 4.8319, 4.8319, 4.8319 Å; angles 60.00, 60.00, 60.00 degrees
Element x y z (fractional)
1 Li 0.5000 0.5000 0.5000
2 Pm 0.2500 0.2500 0.2500
3 Rh 0.0000 0.0000 0.0000
4 Mg 0.7500 0.7500 0.7500

No. 19
Entry from the Alexandria database: LiPmMgRu after structural relaxation (PBE).

**Final energy**: -4.450 eV per atom

Cell lengths 4.8148, 4.8148, 4.8148 Å; angles 60.00, 60.00, 60.00 degrees
Element x y z (fractional)
1 Mg 0.5000 0.5000 0.5000
2 Pm 0.0000 0.0000 0.0000
3 Ru 0.7500 0.7500 0.7500
4 Li 0.2500 0.2500 0.2500

No. 20
Entry from the Alexandria database: LiPm2MgS4 after structural relaxation (PBE).

**Uncorrected formation energy**: -1.717 eV/atom

Cell lengths 3.9196, 6.7076, 6.7615 Å; angles 70.72, 90.00, 90.00 degrees
Element x y z (fractional)
1 S 0.0000 0.2683 0.2492
2 S 0.0000 0.7317 0.7508
3 Li 0.5000 0.5000 0.0000
4 Pm 0.0000 0.0000 0.0000
5 S 0.5000 0.7268 0.2592
6 Pm 0.5000 0.0000 0.5000
7 S 0.5000 0.2732 0.7408
8 Mg 0.0000 0.5000 0.5000